Entry 1:
{"formula": "Hf2ThSc6", "functional": "PBE", "state": "optimized geometry", "lattice": [[3.2927, 0.0000, 0.0000], [-1.6463, 2.8515, 0.0000], [0.0000, 0.0000, 23.9260]], "species": ["Sc", "Sc", "Sc", "Sc", "Sc", "Sc", "Th", "Hf", "Hf"], "fractional_positions": [[0.3333, 0.6667, 0.4364], [0.3333, 0.6667, 0.5636], [0.6667, 0.3333, 0.1190], [0.3333, 0.6667, 0.2292], [0.6667, 0.3333, 0.8810], [0.3333, 0.6667, 0.7708], [0.3333, 0.6667, 0.0000], [0.6667, 0.3333, 0.6665], [0.6667, 0.3333, 0.3335]], "dos_ef_per_ev_atom": 1.937, "crystal_system": "hexagonal", "e_tot_ev_per_atom": -7.1951}

Entry 2:
{"formula": "Ba2Ta4Mo", "functional": "PBE", "state": "optimized geometry", "lattice": [[5.0052, 0.0000, 0.0000], [0.0000, 5.0052, 0.0000], [2.5026, 2.5026, 8.8517]], "species": ["Ba", "Ba", "Ta", "Ta", "Ta", "Ta", "Mo"], "fractional_positions": [[0.3485, 0.3485, 0.3029], [0.6515, 0.6515, 0.6971], [0.8679, 0.8679, 0.2642], [0.0000, 0.5000, 0.0000], [0.5000, 0.0000, 0.0000], [0.1321, 0.1321, 0.7358], [0.0000, 0.0000, 0.0000]], "dos_ef_per_ev_atom": 1.021, "crystal_system": "tetragonal", "e_tot_ev_per_atom": -7.4001}

Entry 3:
{"formula": "HoCdPdAu", "functional": "PBE", "state": "optimized geometry", "lattice": [[-3.9118, -0.6898, -2.7925], [-2.6863, -4.0095, 0.5323], [-4.4447, 0.2945, 1.9322]], "species": ["Pd", "Au", "Cd", "Ho"], "fractional_positions": [[0.5000, 0.5000, 0.5000], [0.0000, 0.0000, 0.0000], [0.7500, 0.7500, 0.7500], [0.2500, 0.2500, 0.2500]], "dos_ef_per_ev_atom": 0.650, "crystal_system": "cubic", "e_tot_ev_per_atom": -4.1787}

Entry 4:
{"formula": "Tb3Sm4Ho", "functional": "PBE", "state": "optimized geometry", "lattice": [[6.3151, 0.0000, 0.0000], [0.0000, 7.3111, 0.0000], [0.0000, 0.0000, 11.4868]], "species": ["Sm", "Sm", "Sm", "Sm", "Sm", "Sm", "Sm", "Sm", "Tb", "Tb", "Tb", "Tb", "Tb", "Tb", "Ho", "Ho"], "fractional_positions": [[0.4813, 0.8731, 0.2506], [0.9813, 0.1269, 0.2494], [0.4813, 0.8731, 0.7494], [0.1483, 0.8738, 0.0000], [0.9813, 0.1269, 0.7506], [0.6470, 0.1268, 0.0000], [0.1470, 0.8732, 0.5000], [0.6483, 0.1262, 0.5000], [0.6480, 0.6235, 0.0000], [0.1480, 0.3765, 0.5000], [0.9807, 0.6230, 0.7500], [0.9807, 0.6230, 0.2500], [0.4807, 0.3770, 0.7500], [0.4807, 0.3770, 0.2500], [0.6480, 0.6227, 0.5000], [0.1480, 0.3773, 0.0000]], "dos_ef_per_ev_atom": 1.768, "crystal_system": "orthorhombic", "e_tot_ev_per_atom": -4.6454}

Entry 5:
{"formula": "CdCu2Cl", "functional": "PBE", "state": "optimized geometry", "lattice": [[-1.1814, 2.9977, -4.2712], [-5.3435, -0.1871, -0.1935], [4.3731, 1.7056, 2.5675]], "species": ["Cd", "Cl", "Cu", "Cu"], "fractional_positions": [[0.7500, 0.2500, 0.5000], [0.2500, 0.7500, 0.5000], [0.4844, 0.4844, 0.0000], [0.0156, 0.0156, 0.0000]], "dos_ef_per_ev_atom": 0.231, "crystal_system": "orthorhombic", "formation_energy_uncorrected_kj_per_mol_atoms": 11}

Entry 6:
{"formula": "CsMg2Au2", "functional": "PBE", "state": "optimized geometry", "lattice": [[-7.3283, 0.9393, 4.8845], [-3.1843, -7.5676, -3.3221], [1.3894, -1.6380, 2.3995]], "species": ["Mg", "Mg", "Mg", "Mg", "Au", "Au", "Au", "Au", "Cs", "Cs"], "fractional_positions": [[0.3755, 0.1245, 0.5000], [0.8755, 0.3755, 0.5000], [0.1245, 0.6245, 0.5000], [0.6245, 0.8755, 0.5000], [0.6512, 0.1512, 0.0000], [0.1512, 0.3488, 0.0000], [0.8488, 0.6512, 0.0000], [0.3488, 0.8488, 0.0000], [0.5000, 0.5000, 0.0000], [0.0000, 0.0000, 0.0000]], "dos_ef_per_ev_atom": 0.317, "crystal_system": "tetragonal", "e_tot_ev_per_atom": -2.3219}